# 1
Density functional theory data (PBE) for crystalline Mo2Cl at its relaxed geometry.

abc: 8.8100 8.8100 5.3799
angles: 87.59 87.59 20.41
Fractional coordinates of all 6 atoms:
Cl (0.4145, 0.4145, 0.7710)
Cl (0.5855, 0.5855, 0.2290)
Mo (0.2115, 0.2115, 0.8294)
Mo (0.7885, 0.7885, 0.1706)
Mo (0.8093, 0.8093, 0.6300)
Mo (0.1907, 0.1907, 0.3700)

Summary:
Offset from the most stable computed form in eV/atom: 0.1809
Energy in eV/f.u.: -23.050
D(E_F) in states/eV per cell: 2.55
E_form (uncorrected) in meV per atom: 153



# 2
Density functional theory data (PBE) for crystalline MoCl at its relaxed geometry.

abc: 8.8450 3.6982 9.8997
angles: 90.00 90.00 90.00
Fractional coordinates of all 16 atoms:
Cl (0.8580, 0.9701, 0.6749)
Cl (0.8142, 0.5033, 0.9526)
Cl (0.6858, 0.4967, 0.4526)
Cl (0.6420, 0.0299, 0.1749)
Cl (0.3142, 0.9967, 0.0474)
Cl (0.1420, 0.4701, 0.8251)
Cl (0.3580, 0.5299, 0.3251)
Cl (0.1858, 0.0033, 0.5474)
Mo (0.9020, 0.8129, 0.1795)
Mo (0.5462, 0.2396, 0.9350)
Mo (0.4020, 0.6871, 0.8205)
Mo (0.0980, 0.3129, 0.3205)
Mo (0.5980, 0.1871, 0.6795)
Mo (0.9538, 0.7604, 0.4350)
Mo (0.4538, 0.7396, 0.5650)
Mo (0.0462, 0.2604, 0.0650)

Summary:
Offset from the most stable computed form in eV/atom: 0.1917
Energy in eV/f.u.: -13.115
E_form (uncorrected) in meV per atom: -219



# 3
Density functional theory data (PBE) for crystalline MoCl at its relaxed geometry.

abc: 2.9381 2.9381 8.3222
angles: 90.00 90.00 120.00
Fractional coordinates of all 4 atoms:
Mo (0.3333, 0.6667, 0.2500)
Mo (0.6667, 0.3333, 0.7500)
Cl (0.0000, 0.0000, 0.5000)
Cl (0.0000, 0.0000, 0.0000)

Summary:
Offset from the most stable computed form in eV/atom: 0.9341
Energy in eV/f.u.: -11.631
D(E_F) in states/eV per cell: 3.68
E_form (uncorrected) in meV per atom: 524



# 4
Density functional theory data (PBE) for crystalline MoCl at its relaxed geometry.

abc: 8.0604 10.1395 8.1847
angles: 90.00 90.00 90.00
Fractional coordinates of all 32 atoms:
Cl (0.1922, 0.0000, 0.0000)
Cl (0.5578, 0.7500, 0.7500)
Cl (0.1922, 0.5000, 0.5000)
Cl (0.8078, 0.0000, 0.0000)
Cl (0.5578, 0.2500, 0.2500)
Cl (0.3078, 0.0000, 0.5000)
Cl (0.4422, 0.2500, 0.7500)
Cl (0.0578, 0.2500, 0.7500)
Cl (0.9422, 0.2500, 0.2500)
Cl (0.3078, 0.5000, 0.0000)
Cl (0.0578, 0.7500, 0.2500)
Cl (0.6922, 0.5000, 0.0000)
Cl (0.8078, 0.5000, 0.5000)
Cl (0.9422, 0.7500, 0.7500)
Cl (0.4422, 0.7500, 0.2500)
Cl (0.6922, 0.0000, 0.5000)
Mo (0.5000, 0.1088, 0.0000)
Mo (0.0000, 0.1088, 0.5000)
Mo (0.7500, 0.1412, 0.7500)
Mo (0.5000, 0.3912, 0.5000)
Mo (0.2500, 0.1412, 0.2500)
Mo (0.7500, 0.8588, 0.2500)
Mo (0.7500, 0.3588, 0.7500)
Mo (0.2500, 0.3588, 0.2500)
Mo (0.2500, 0.8588, 0.7500)
Mo (0.2500, 0.6412, 0.7500)
Mo (0.0000, 0.6088, 0.0000)
Mo (0.5000, 0.8912, 0.0000)
Mo (0.5000, 0.6088, 0.5000)
Mo (0.0000, 0.3912, 0.0000)
Mo (0.0000, 0.8912, 0.5000)
Mo (0.7500, 0.6412, 0.2500)

Summary:
Offset from the most stable computed form in eV/atom: 0.7821
Energy in eV/f.u.: -11.935
D(E_F) in states/eV per cell: 18.91
E_form (uncorrected) in meV per atom: 372



# 5
Density functional theory data (PBE) for crystalline MoCl at its relaxed geometry.

abc: 9.0639 9.0639 2.9607
angles: 90.00 90.00 161.20
Fractional coordinates of all 4 atoms:
Cl (0.8918, 0.1082, 0.7500)
Cl (0.1082, 0.8918, 0.2500)
Mo (0.3028, 0.6972, 0.2500)
Mo (0.6972, 0.3028, 0.7500)

Summary:
Offset from the most stable computed form in eV/atom: 0.2987
Energy in eV/f.u.: -12.901
D(E_F) in states/eV per cell: 2.34
E_form (uncorrected) in meV per atom: -112



# 6
Density functional theory data (PBE) for crystalline MoCl at its relaxed geometry.

abc: 3.1748 3.1748 9.1859
angles: 90.00 90.00 120.00
Fractional coordinates of all 4 atoms:
Cl (0.6667, 0.3333, 0.7054)
Cl (0.3333, 0.6667, 0.2946)
Mo (0.6667, 0.3333, 0.1015)
Mo (0.3333, 0.6667, 0.8985)

Summary:
Offset from the most stable computed form in eV/atom: 0.0113
Energy in eV/f.u.: -13.476
D(E_F) in states/eV per cell: 1.84
E_form (uncorrected) in meV per atom: -399